(1)
# Ni5P

Crystalline Ni5P at its relaxed geometry (GGA-PBE, Alexandria via LeMat-Bulk).

Cell lengths 8.6067, 2.7154, 5.9782 Å; angles 90.00, 111.02, 90.00 degrees
With the nearest neighbours (Å) after each atom.
Space group C2/m (No. 12)
Symmetry-distinct sites (fractional):
Ni 0.0000 0.0000 0.0000 (multiplicity 2)  10 Ni 2.42-2.65
Ni 0.1424 0.5000 0.3496 (multiplicity 4)  2 P 2.22, 4 Ni 2.42-2.47
Ni 0.1708 0.5000 0.8108 (multiplicity 4)  2 P 2.34, 7 Ni 2.52-2.57
P 0.0000 0.0000 0.5000 (multiplicity 2)  8 Ni 2.22-2.34

Computed properties:
ΔE_f ... -156 meV per atom

***

(2)
# Si2Ni2As

Crystalline Si2Ni2As at its relaxed geometry (GGA-PBE, Alexandria via LeMat-Bulk).

Cell lengths 3.5562, 3.5562, 10.9556 Å; angles 90.00, 90.00, 90.00 degrees
With the nearest neighbours (Å) after each atom.
Space group I4/mmm (No. 139)
Symmetry-distinct sites (fractional):
Si 0.0000 0.5000 0.2500 (multiplicity 4)  4 Ni 2.31, 4 Si 2.51
Ni 0.0000 0.0000 0.1154 (multiplicity 4)  4 Si 2.31, 1 Ni 2.53
As 0.0000 0.0000 0.5000 (multiplicity 2)  8 Ni 2.81

Computed properties:
Uncorrected formation energy ... -0.112 eV per atom
Distance to the lowest polymorph of the same formula ... 0 meV per atom

***

(3)
# ZnCrHg4

Crystalline ZnCrHg4 at its relaxed geometry (GGA-PBE, Alexandria via LeMat-Bulk).

Cell lengths 8.3484, 8.3484, 8.3484 Å; angles 90.00, 90.00, 90.00 degrees
With the nearest neighbours (Å) after each atom.
Space group F-43m (No. 216)
Symmetry-distinct sites (fractional):
Zn 0.0000 0.0000 0.0000 (multiplicity 4)  12 Hg 3.46, 4 Cr 3.61
Cr 0.2500 0.2500 0.7500 (multiplicity 4)  12 Hg 3.46, 4 Zn 3.61
Hg 0.1248 0.1248 0.3752 (multiplicity 16)  6 Hg 2.95-2.96

Computed properties:
ΔE_f ... 522 meV per atom

***

(4)
# Ba6Te4Se

Crystalline Ba6Te4Se at its relaxed geometry (GGA-PBE, Alexandria via LeMat-Bulk).

Cell lengths 13.7405, 13.7405, 16.9434 Å; angles 90.00, 90.00, 120.00 degrees
With the nearest neighbours (Å) after each atom.
Space group R-3c (No. 167, hexagonal axes)
Symmetry-distinct sites (fractional):
Ba 0.0329 0.1990 0.3892 (multiplicity 36)  1 Se 3.16, 1 Te 3.46
Te 0.0000 0.0000 0.2500 (multiplicity 6)  6 Ba 3.46
Te 0.0000 0.3841 0.2500 (multiplicity 18)  8 Ba 3.66-3.78
Se 0.0000 0.0000 0.0000 (multiplicity 6)  6 Ba 3.16

Computed properties:
Uncorrected formation energy ... -1.531 eV per atom

***

(5)
# NaGa3

Crystalline NaGa3 at its relaxed geometry (GGA-PBE, Alexandria via LeMat-Bulk).

Cell lengths 3.0272, 9.7785, 5.4725 Å; angles 90.00, 90.00, 90.00 degrees
With the nearest neighbours (Å) after each atom.
Space group Imm2 (No. 44)
Symmetry-distinct sites (fractional):
Na 0.0000 0.0000 0.0000 (multiplicity 2)  10 Ga 2.98-3.19, 2 Na 3.03
Ga 0.0000 0.2428 0.3299 (multiplicity 4)  3 Na 2.98-3.08, 9 Ga 2.99-3.13
Ga 0.0000 0.5000 0.0130 (multiplicity 2)  8 Ga 2.99-3.05, 4 Na 3.06-3.19

Computed properties:
ΔE_f ... 2 meV per atom

***

(6)
# TcPbBr2

Crystalline TcPbBr2 at its relaxed geometry (GGA-PBE, Alexandria via LeMat-Bulk).

Cell lengths 3.6297, 3.6297, 26.8286 Å; angles 90.00, 90.00, 120.00 degrees
With the nearest neighbours (Å) after each atom.
Space group R3m (No. 160, hexagonal axes)
Symmetry-distinct sites (fractional):
Tc 0.0000 0.0000 0.0000 (multiplicity 3)  3 Br 2.49
Pb 0.0000 0.0000 0.2518 (multiplicity 3)  3 Tc 3.03, 3 Br 3.03
Br 0.0000 0.0000 0.5035 (multiplicity 3)  3 Pb 3.03
Br 0.0000 0.0000 0.7166 (multiplicity 3)  3 Tc 2.49

Computed properties:
Uncorrected formation energy ... 0.188 eV per atom
Distance to the lowest polymorph of the same formula ... 170 meV per atom

***

(7)
# Th2ZnCd5

Crystalline Th2ZnCd5 at its relaxed geometry (GGA-PBE, Alexandria via LeMat-Bulk).

Cell lengths 4.6654, 17.3477, 9.7896 Å; angles 90.00, 90.00, 90.00 degrees
With the nearest neighbours (Å) after each atom.
Space group Cmcm (No. 63)
Symmetry-distinct sites (fractional):
Th 0.0000 0.0000 0.0000 (multiplicity 4)  10 Cd 3.38-3.79, 4 Zn 3.49
Th 0.0000 0.1923 0.2500 (multiplicity 4)  11 Cd 3.29-3.63, 2 Zn 3.38
Zn 0.0000 0.4491 0.7500 (multiplicity 4)  3 Cd 2.59-2.64
Cd 0.0000 0.1927 0.6037 (multiplicity 8)  4 Cd 2.83-2.99
Cd 0.0000 0.3600 0.5312 (multiplicity 8)  1 Zn 2.64, 3 Cd 2.83-2.85
Cd 0.0000 0.4018 0.2500 (multiplicity 4)  1 Zn 2.59, 2 Cd 2.85

Computed properties:
ΔE_f ... -98 meV per atom

***

(8)
# RbAlAs2Se

Crystalline RbAlAs2Se at its relaxed geometry (GGA-PBE, Alexandria via LeMat-Bulk).

Cell lengths 4.9931, 4.9931, 5.3097 Å; angles 90.00, 90.00, 90.00 degrees
With the nearest neighbours (Å) after each atom.
Space group P4/mmm (No. 123)
Symmetry-distinct sites (fractional):
Rb 0.0000 0.0000 0.0000 (multiplicity 1)  4 Se 3.53, 8 As 3.64
Al 0.5000 0.5000 0.5000 (multiplicity 1)  4 As 2.50, 2 Se 2.65
As 0.0000 0.5000 0.5000 (multiplicity 2)  2 Al 2.50
Se 0.5000 0.5000 0.0000 (multiplicity 1)  2 Al 2.65

Computed properties:
Uncorrected formation energy ... -0.043 eV per atom
Distance to the lowest polymorph of the same formula ... 0 meV per atom

***

(9)
# ZrAsS2N

Crystalline ZrAsS2N at its relaxed geometry (GGA-PBE, Alexandria via LeMat-Bulk).

Cell lengths 4.3048, 4.3048, 4.4189 Å; angles 90.00, 90.00, 90.00 degrees
With the nearest neighbours (Å) after each atom.
Space group P4/mmm (No. 123)
Symmetry-distinct sites (fractional):
Zr 0.0000 0.0000 0.0000 (multiplicity 1)  2 N 2.21
As 0.5000 0.5000 0.0000 (multiplicity 1)  4 Zr 3.04, 8 S 3.08
S 0.0000 0.5000 0.5000 (multiplicity 2)  2 N 2.15
N 0.0000 0.0000 0.5000 (multiplicity 1)  4 S 2.15, 2 Zr 2.21

Computed properties:
Uncorrected formation energy ... 0.345 eV per atom
Distance to the lowest polymorph of the same formula ... 150 meV per atom

***

(10)
# ErZnCu

Crystalline ErZnCu at its relaxed geometry (GGA-PBE, Alexandria via LeMat-Bulk).

Cell lengths 3.3852, 3.3852, 9.6651 Å; angles 90.00, 90.00, 90.00 degrees
With the nearest neighbours (Å) after each atom.
Space group I4mm (No. 107)
Symmetry-distinct sites (fractional):
Er 0.0000 0.0000 0.0000 (multiplicity 2)  5 Zn 2.97-3.03, 5 Cu 3.00-3.03
Zn 0.0000 0.0000 0.6928 (multiplicity 2)  4 Cu 2.66, 1 Er 2.97
Cu 0.0000 0.0000 0.3137 (multiplicity 2)  4 Zn 2.66

Computed properties:
ΔE_f ... -199 meV per atom

***

(11)
# KMn2CrSb

Crystalline KMn2CrSb at its relaxed geometry (GGA-PBE, Alexandria via LeMat-Bulk).

Cell lengths 4.6698, 4.6698, 5.6268 Å; angles 90.00, 90.00, 90.00 degrees
With the nearest neighbours (Å) after each atom.
Space group P4/mmm (No. 123)
Symmetry-distinct sites (fractional):
K 0.0000 0.0000 0.0000 (multiplicity 1)  4 Mn 2.33
Mn 0.0000 0.5000 0.0000 (multiplicity 2)  2 K 2.33
Cr 0.5000 0.5000 0.5000 (multiplicity 1)  4 Sb 3.30, 8 Mn 3.66
Sb 0.0000 0.0000 0.5000 (multiplicity 1)  2 K 2.81

Computed properties:
Uncorrected formation energy ... 2.483 eV per atom

***

(12)
# PmGa4Cu8

Crystalline PmGa4Cu8 at its relaxed geometry (GGA-PBE, Alexandria via LeMat-Bulk).

Cell lengths 8.6579, 8.6579, 5.0408 Å; angles 90.00, 90.00, 90.00 degrees
With the nearest neighbours (Å) after each atom.
Space group I4/mmm (No. 139)
Symmetry-distinct sites (fractional):
Pm 0.0000 0.0000 0.0000 (multiplicity 2)  12 Cu 3.08-3.16, 8 Ga 3.31
Ga 0.2500 0.2500 0.2500 (multiplicity 8)  8 Cu 2.52-2.67, 2 Ga 2.52
Cu 0.0000 0.2202 0.5000 (multiplicity 8)  4 Ga 2.52, 6 Cu 2.70-2.78
Cu 0.0000 0.3555 0.0000 (multiplicity 8)  5 Cu 2.50-2.78, 4 Ga 2.67

Computed properties:
ΔE_f ... -173 meV per atom

***

(13)
# HfMo2Os2

Crystalline HfMo2Os2 at its relaxed geometry (GGA-PBE, Alexandria via LeMat-Bulk).

Cell lengths 7.5480, 7.5480, 2.9324 Å; angles 90.00, 90.00, 90.00 degrees
With the nearest neighbours (Å) after each atom.
Space group P4/mbm (No. 127)
Symmetry-distinct sites (fractional):
Hf 0.0000 0.0000 0.0000 (multiplicity 2)  2 Hf 2.93, 4 Os 2.95, 8 Mo 3.18
Mo 0.1656 0.3344 0.5000 (multiplicity 4)  6 Os 2.62-2.69
Os 0.1314 0.6314 0.0000 (multiplicity 4)  6 Mo 2.62-2.69, 1 Os 2.81

Computed properties:
ΔE_f ... 53 meV per atom
Distance to the lowest polymorph of the same formula ... 0 meV per atom

***

(14)
# Pr2GeSbRh6

Crystalline Pr2GeSbRh6 at its relaxed geometry (GGA-PBE, Alexandria via LeMat-Bulk).

Cell lengths 6.0107, 6.6207, 6.7333 Å; angles 60.99, 89.36, 63.86 degrees
With the nearest neighbours (Å) after each atom.
Space group P-1 (No. 2)
Symmetry-distinct sites (fractional):
Pr 0.1249 0.0970 0.2275 (multiplicity 2)  6 Rh 2.95-3.13, 1 Ge 3.30
Ge 0.5000 0.5000 0.0000 (multiplicity 1)  6 Rh 2.47-2.50
Sb 0.0000 0.5000 0.5000 (multiplicity 1)  6 Rh 2.57-2.64
Rh 0.3213 0.9855 0.7042 (multiplicity 2)  1 Ge 2.50, 1 Sb 2.64, 3 Rh 2.69-2.73
Rh 0.3920 0.2685 0.8531 (multiplicity 2)  1 Ge 2.47, 1 Sb 2.64, 4 Rh 2.67-2.72
Rh 0.4329 0.4015 0.3933 (multiplicity 2)  1 Ge 2.48, 1 Sb 2.57, 3 Rh 2.67-2.73

Computed properties:
Uncorrected formation energy ... -0.476 eV per atom

***

(15)
# La3Nd4Er8

Crystalline La3Nd4Er8 at its relaxed geometry (GGA-PBE, Alexandria via LeMat-Bulk).

Cell lengths 13.5044, 12.9483, 6.7942 Å; angles 90.00, 120.18, 90.00 degrees
With the nearest neighbours (Å) after each atom.
Space group C2/m (No. 12)
Symmetry-distinct sites (fractional):
La 0.0000 0.0000 0.0000 (multiplicity 2)  6 Er 3.14-3.25
La 0.2500 0.2500 0.0000 (multiplicity 4)  4 Er 3.24-3.38, 2 Nd 3.40
Nd 0.0000 0.5000 0.0000 (multiplicity 2)  6 Er 3.33-3.52, 2 Nd 3.40
Nd 0.0000 0.5000 0.5000 (multiplicity 2)  2 Nd 3.40, 4 Er 3.58-3.60
Nd 0.2500 0.2500 0.5000 (multiplicity 4)  4 Er 3.24-3.38, 2 La 3.40
Er 0.0000 0.1395 0.5000 (multiplicity 4)  7 Er 3.61-3.65, 2 Nd 3.67, 4 La 3.67-3.85
Er 0.0000 0.2428 0.0000 (multiplicity 4)  3 La 3.14-3.38, 3 Nd 3.33-3.38
Er 0.2327 0.0000 0.4961 (multiplicity 4)  2 Er 3.24-3.55, 4 Nd 3.24-3.60, 1 La 3.25
Er 0.2332 0.0000 0.9741 (multiplicity 4)  3 La 3.24, 2 Er 3.24-3.55, 2 Nd 3.52-3.58

Computed properties:
ΔE_f ... 356 meV per atom

***

(16)
# YSc2Re

Crystalline YSc2Re at its relaxed geometry (GGA-PBE, Alexandria via LeMat-Bulk).

Cell lengths 3.5018, 4.9834, 10.2496 Å; angles 90.00, 90.00, 90.00 degrees
With the nearest neighbours (Å) after each atom.
Space group Imm2 (No. 44)
Symmetry-distinct sites (fractional):
Y 0.0000 0.0000 0.0000 (multiplicity 2)  2 Re 2.86, 4 Sc 3.17
Sc 0.0000 0.0000 0.4149 (multiplicity 2)  2 Re 2.65
Sc 0.0000 0.5000 0.2113 (multiplicity 2)  4 Re 3.05, 2 Sc 3.25, 2 Y 3.30
Re 0.0000 0.5000 0.7211 (multiplicity 2)  2 Sc 2.65, 2 Y 2.86

Computed properties:
ΔE_f ... 99 meV per atom
Distance to the lowest polymorph of the same formula ... 86 meV per atom

***

(17)
# LaCuSi2

Crystalline LaCuSi2 at its relaxed geometry (GGA-PBE, Alexandria via LeMat-Bulk).

Cell lengths 3.2395, 3.4771, 6.6004 Å; angles 90.00, 90.00, 90.00 degrees
With the nearest neighbours (Å) after each atom.
Space group Pmm2 (No. 25)
Symmetry-distinct sites (fractional):
La 0.0000 0.0000 0.0000 (multiplicity 1)  6 Si 3.16-3.30, 4 Cu 3.21, 4 La 3.24-3.48
Cu 0.5000 0.5000 0.6738 (multiplicity 1)  5 Si 2.36-2.64
Si 0.0000 0.0000 0.5007 (multiplicity 1)  4 Cu 2.64, 4 Si 2.67
Si 0.5000 0.5000 0.3168 (multiplicity 1)  1 Cu 2.36

Computed properties:
Uncorrected formation energy ... -0.113 eV per atom

***

(18)
# TcSnO2

Crystalline TcSnO2 at its relaxed geometry (GGA-PBE, Alexandria via LeMat-Bulk).

Cell lengths 4.8173, 4.8173, 11.2182 Å; angles 90.00, 90.00, 90.00 degrees
With the nearest neighbours (Å) after each atom.
Space group I-42d (No. 122)
Symmetry-distinct sites (fractional):
Tc 0.0000 0.0000 0.0000 (multiplicity 4)  4 O 1.96
Sn 0.0000 0.0000 0.5000 (multiplicity 4)  4 O 2.55
O 0.1367 0.2500 0.1250 (multiplicity 8)  2 Tc 1.96

Computed properties:
Uncorrected formation energy ... -0.517 eV per atom

***

(19)
# PuH8PdPt2

Crystalline PuH8PdPt2 at its relaxed geometry (GGA-PBE, Alexandria via LeMat-Bulk).

Cell lengths 4.7725, 4.7725, 16.8726 Å; angles 90.00, 90.00, 120.00 degrees
With the nearest neighbours (Å) after each atom.
Space group R-3 (No. 148, hexagonal axes)
Symmetry-distinct sites (fractional):
Pu 0.0000 0.0000 0.0000 (multiplicity 3)  6 H 2.39
H 0.0000 0.0000 0.3279 (multiplicity 6)  1 Pt 1.63
H 0.0015 0.6389 0.2246 (multiplicity 18)  1 Pt 1.73, 1 Pd 1.81
Pd 0.0000 0.0000 0.5000 (multiplicity 3)  6 H 1.81
Pt 0.0000 0.0000 0.2315 (multiplicity 6)  4 H 1.63-1.73

***

(20)
# MgNiSb2

Crystalline MgNiSb2 at its relaxed geometry (GGA-PBE, Alexandria via LeMat-Bulk).

Cell lengths 7.0047, 7.0047, 7.0047 Å; angles 90.00, 90.00, 90.00 degrees
With the nearest neighbours (Å) after each atom.
Space group F-43m (No. 216)
Symmetry-distinct sites (fractional):
Mg 0.0000 0.0000 0.0000 (multiplicity 4)  4 Sb 3.03, 4 Ni 3.03
Ni 0.2500 0.2500 0.7500 (multiplicity 4)  4 Sb 3.03, 4 Mg 3.03
Sb 0.0000 0.0000 0.5000 (multiplicity 4)  4 Ni 3.03, 4 Sb 3.03
Sb 0.2500 0.2500 0.2500 (multiplicity 4)  4 Sb 3.03, 4 Mg 3.03

Computed properties:
Uncorrected formation energy ... 0.269 eV per atom

***

(21)
# GdBrO

Crystalline GdBrO at its relaxed geometry (GGA-PBE, Alexandria via LeMat-Bulk).

Cell lengths 3.9026, 3.9026, 9.0705 Å; angles 90.00, 90.00, 90.00 degrees
With the nearest neighbours (Å) after each atom.
Space group P4/nmm (No. 129, origin choice 2)
Symmetry-distinct sites (fractional):
Gd 0.2500 0.2500 0.1295 (multiplicity 2)  4 O 2.28
Br 0.2500 0.2500 0.6877 (multiplicity 2)  4 Gd 3.22, 4 O 3.44
O 0.2500 0.7500 0.0000 (multiplicity 2)  4 Gd 2.28

Computed properties:
Uncorrected formation energy ... -2.889 eV per atom

***

no.,theoretical density (kg/m³),calculated total energy (Ry/atom)
1,8262,-0.43187
2,5956,-0.40598
3,10500,-0.10993
4,5083,-0.29688
5,4760,-0.19096
6,7568,-0.30630
7,9151,-0.19730
8,4281,-0.26029
9,4954,-0.41236
10,8882,-0.25798
11,4367,-0.30530
12,8194,-0.29327
13,14926,-0.79103
14,8935,-0.49366
15,7540,-0.31860
16,6778,-0.57291
17,5776,-0.37342
18,6346,-0.48426
19,11206,-0.36481
20,6310,-0.26726
21,6086,-0.71976